HgWBr2 after structural relaxation. Source: the Alexandria database, functional GGA-PBEsol.

a = 3.073 Å, b = 3.309 Å, c = 10.421 Å
α = 90.00°, β = 90.00°, γ = 117.67°
Fractional coordinates of all 4 atoms:
Br: 0.000 0.000 0.804
Br: 0.000 0.000 0.196
Hg: 0.500 0.000 0.500
W: 0.500 0.000 0.000

Energy relative to the lowest polymorph listed for this composition ... 108 meV/atom
Energy relative to the elements, uncorrected ... 344 meV/atom

=====

HgWBr2 after structural relaxation. Source: the Alexandria database, functional GGA-PBEsol.

a = 3.104 Å, b = 5.471 Å, c = 6.937 Å
α = 113.31°, β = 90.00°, γ = 106.48°
Fractional coordinates of all 4 atoms:
Br: 0.903 0.807 0.944
Br: 0.729 0.459 0.306
Hg: 0.565 0.130 0.625
W: 0.302 0.605 0.625

Energy relative to the lowest polymorph listed for this composition ... 0 meV/atom
Energy relative to the elements, uncorrected ... 236 meV/atom

=====

HgWBr after structural relaxation. Source: the Alexandria database, functional GGA-PBEsol.

a = 3.047 Å, b = 3.047 Å, c = 6.774 Å
α = 103.00°, β = 103.00°, γ = 90.00°
Fractional coordinates of all 3 atoms:
Br: 0.964 0.964 0.928
Hg: 0.693 0.693 0.385
W: 0.344 0.344 0.687

Energy relative to the lowest polymorph listed for this composition ... 0 meV/atom
Energy relative to the elements, uncorrected ... 748 meV/atom

=====

Zn2HgWBr after structural relaxation. Source: the Alexandria database, functional GGA-PBEsol.

a = 5.048 Å, b = 5.048 Å, c = 5.289 Å
α = 90.00°, β = 90.00°, γ = 90.00°
Fractional coordinates of all 5 atoms:
Zn: 0.000 0.500 0.000
Zn: 0.500 0.000 0.000
Br: 0.500 0.500 0.500
Hg: 0.000 0.000 0.500
W: 0.000 0.000 0.000

Energy relative to the elements, uncorrected ... 1130 meV/atom

=====

YHgBr after structural relaxation. Source: the Alexandria database, functional GGA-PBEsol.

a = 4.844 Å, b = 4.844 Å, c = 4.844 Å
α = 60.00°, β = 60.00°, γ = 60.00°
Fractional coordinates of all 3 atoms:
Y: 0.500 0.500 0.500
Hg: 0.000 0.000 0.000
Br: 0.750 0.750 0.750

Energy relative to the elements, uncorrected ... -430 meV/atom

=====

YHgBr3 after structural relaxation. Source: the Alexandria database, functional GGA-PBEsol.

a = 5.509 Å, b = 5.509 Å, c = 5.509 Å
α = 90.00°, β = 90.00°, γ = 90.00°
Fractional coordinates of all 5 atoms:
Y: 0.000 0.000 0.000
Hg: 0.500 0.500 0.500
Br: 0.000 0.500 0.000
Br: 0.000 0.000 0.500
Br: 0.500 0.000 0.000

Energy relative to the elements, uncorrected ... -1327 meV/atom

=====

YHg3Br after structural relaxation. Source: the Alexandria database, functional GGA-PBEsol.

a = 5.394 Å, b = 5.394 Å, c = 5.394 Å
α = 90.00°, β = 90.00°, γ = 90.00°
Fractional coordinates of all 5 atoms:
Y: 0.500 0.500 0.500
Hg: 0.000 0.500 0.000
Hg: 0.000 0.000 0.500
Hg: 0.500 0.000 0.000
Br: 0.000 0.000 0.000

Energy relative to the elements, uncorrected ... 533 meV/atom

=====

Zn2HgBr after structural relaxation. Source: the Alexandria database, functional GGA-PBEsol.

a = 3.636 Å, b = 5.062 Å, c = 5.062 Å
α = 103.60°, β = 103.11°, γ = 103.11°
Fractional coordinates of all 4 atoms:
Br: 0.500 0.500 0.500
Hg: 0.500 0.000 0.000
Zn: 0.000 0.000 0.500
Zn: 0.000 0.500 0.000

Energy relative to the lowest polymorph listed for this composition ... 161 meV/atom
Energy relative to the elements, uncorrected ... 77 meV/atom

=====

no.,VASP energy (eV/atom)
1,-4.185
2,-4.293
3,-4.667
4,-2.752
5,-3.517
6,-3.927
7,-1.545
8,-1.323